A relaxed structure of BiTeN2F. Source: the Alexandria database, functional PBE.

The space group is P4/mmm (No. 123) and the conventional cell measures 4.311, 4.311 and 6.390 Å, with angles of 90.00, 90.00 and 90.00 degrees. Symmetry generates all atoms from Bi at (0.000, 0.000, 0.000), Te at (0.000, 0.000, 0.500), N at (0.000, 0.500, 0.000) and F at (0.500, 0.500, 0.500).

The energy is -18.42 eV per cell. The formation energy (no corrections) comes out at 1.425 eV per atom.

---

A relaxed structure of BiTeN2F. Source: the Alexandria database, functional PBE.

The space group is P4/mmm (No. 123) and the conventional cell measures 4.304, 4.304 and 4.270 Å, with angles of 90.00, 90.00 and 90.00 degrees. Symmetry generates all atoms from Bi at (0.000, 0.000, 0.000), Te at (0.500, 0.500, 0.500), N at (0.000, 0.500, 0.500) and F at (0.500, 0.500, 0.000).

The energy is -22.54 eV per cell. The formation energy (no corrections) comes out at 0.601 eV per atom.

---

A relaxed structure of BiTeN2F. Source: the Alexandria database, functional PBE.

The space group is P4/mmm (No. 123) and the conventional cell measures 4.447, 4.447 and 4.322 Å, with angles of 90.00, 90.00 and 90.00 degrees. Symmetry generates all atoms from Bi at (0.000, 0.000, 0.000), Te at (0.500, 0.500, 0.500), N at (0.000, 0.500, 0.000) and F at (0.000, 0.000, 0.500).

The energy is -21.35 eV per cell. The formation energy (no corrections) comes out at 0.840 eV per atom.

---

no.,energy relative to the lowest polymorph listed for this composition (meV per atom)
1,824
2,0
3,239